The following is a PBE-GGA calculation of crystalline Na3Zn2Ga7 at its relaxed geometry, from the Alexandria database.

a = 5.6715 Å, b = 5.6715 Å, c = 9.2577 Å
α = 72.16°, β = 72.16°, γ = 60.00°
Atoms (fractional coordinates):
Zn 0.6635 0.6635 0.0094
Ga 0.4122 0.4122 0.2479
Ga 0.9277 0.4122 0.2479
Ga 0.4122 0.9277 0.2479
Na 0.0000 0.0000 0.0000
Ga 0.5000 0.5000 0.5000
Na 0.1413 0.1413 0.5761
Zn 0.3365 0.3365 0.9906
Na 0.8587 0.8587 0.4239
Ga 0.5878 0.5878 0.7521
Ga 0.5878 0.0723 0.7521
Ga 0.0723 0.5878 0.7521

Results
formation energy	-103	meV per atom
uncorrected energy	-0.1772	Ry/atom
V	241.22	Å³/f.u.
spin magnetization	0.000	μB per atom